(1)
NdDy3In3, relaxed, DFT GGA-PBE; energy of formation = -8.3 kcal/mol of atoms; uncorrected energy = -4.1866 eV/atom; ΔE to the lowest computed polymorph = 0.0 meV/atom
1.0
9.455 0.000 0.000
-4.728 8.189 0.000
0.000 0.000 5.172
Nd Dy In
2 6 6
direct
0.333 0.667 0.250
0.667 0.333 0.750
0.001 0.233 0.750
0.232 0.999 0.750
0.233 0.232 0.250
0.767 0.768 0.750
0.768 0.001 0.250
0.999 0.767 0.250
0.069 0.617 0.750
0.383 0.452 0.750
0.452 0.069 0.250
0.548 0.931 0.750
0.617 0.548 0.250
0.931 0.383 0.250

(2)
Nd2Dy6In, relaxed, DFT GGA-PBE; energy of formation = -2.0 kcal/mol of atoms; uncorrected energy = -4.5202 eV/atom; ΔE to the lowest computed polymorph = 0.0 meV/atom
1.0
5.916 -3.119 0.000
5.916 3.119 0.000
-1.072 0.000 15.232
Nd Dy In
4 12 2
direct
0.083 0.371 0.199
0.371 0.083 0.699
0.629 0.917 0.301
0.917 0.629 0.801
0.049 0.725 0.033
0.172 0.511 0.417
0.264 0.627 0.639
0.275 0.951 0.467
0.373 0.736 0.861
0.489 0.828 0.083
0.511 0.172 0.917
0.627 0.264 0.139
0.725 0.049 0.533
0.736 0.373 0.361
0.828 0.489 0.583
0.951 0.275 0.967
0.177 0.823 0.250
0.823 0.177 0.750

(3)
NdDy6In3, relaxed, DFT GGA-PBE; energy of formation = -3.3 kcal/mol of atoms; uncorrected energy = -4.2015 eV/atom
1.0
5.256 -7.603 0.000
5.256 7.603 0.000
0.000 0.000 7.748
Nd Dy In
2 12 6
direct
0.219 0.781 0.500
0.781 0.219 0.000
0.050 0.950 0.783
0.075 0.450 0.287
0.235 0.301 0.974
0.301 0.235 0.474
0.301 0.699 0.958
0.450 0.075 0.787
0.550 0.925 0.287
0.699 0.301 0.458
0.699 0.765 0.974
0.765 0.699 0.474
0.925 0.550 0.787
0.950 0.050 0.283
0.014 0.279 0.650
0.279 0.014 0.150
0.447 0.553 0.261
0.553 0.447 0.761
0.721 0.986 0.650
0.986 0.721 0.150

(4)
Nd15Dy2In2, relaxed, DFT GGA-PBE; energy of formation = 3.2 kcal/mol of atoms; uncorrected energy = -4.3981 eV/atom
1.0
5.598 3.232 5.947
-5.598 3.232 5.947
0.000 -6.464 5.947
Nd Dy In
15 2 2
direct
0.000 0.000 0.500
0.000 0.292 0.708
0.000 0.500 0.000
0.000 0.708 0.292
0.160 0.622 0.622
0.292 0.000 0.708
0.292 0.708 0.000
0.378 0.378 0.840
0.378 0.840 0.378
0.500 0.000 0.000
0.622 0.160 0.622
0.622 0.622 0.160
0.708 0.000 0.292
0.708 0.292 0.000
0.840 0.378 0.378
0.308 0.308 0.308
0.692 0.692 0.692
0.095 0.095 0.095
0.905 0.905 0.905

(5)
Nd6DyIn, relaxed, DFT GGA-PBE; energy of formation = -2.8 kcal/mol of atoms; uncorrected energy = -4.6148 eV/atom
1.0
5.033 0.000 0.000
0.000 5.033 0.000
0.000 0.000 10.334
Nd Dy In
6 1 1
direct
0.000 0.000 0.000
0.000 0.000 0.500
0.000 0.500 0.243
0.000 0.500 0.757
0.500 0.000 0.243
0.500 0.000 0.757
0.500 0.500 0.500
0.500 0.500 0.000

(6)
Nd3Dy2In3, relaxed, DFT GGA-PBE; energy of formation = -5.3 kcal/mol of atoms; uncorrected energy = -4.1939 eV/atom; ΔE to the lowest computed polymorph = 136.4 meV/atom
1.0
7.509 -2.685 0.000
7.509 2.685 0.000
-1.421 0.000 6.098
Nd Dy In
3 2 3
direct
0.000 0.000 0.000
0.123 0.123 0.543
0.877 0.877 0.457
0.266 0.266 0.186
0.734 0.734 0.814
0.347 0.347 0.757
0.500 0.500 0.500
0.653 0.653 0.243

Q: The lowest uncorrected energy belongs to which entry?
A: Nd6DyIn

Q: The lowest energy of formation belongs to which entry?
A: NdDy3In3

Q: uncorrected energy of number 1 (NdDy3In3)?
A: -4.1866 eV/atom

Q: Look up the energy of formation of the fourth one.
A: 3.2 kcal/mol of atoms